Entry 1:
Compound: ZnCrRu2
Source: Alexandria via LeMat-Bulk
Functional: PBE
Structure: optimized geometry

Unit cell a=2.6226 b=2.6226 c=8.8583 alpha=90.00 beta=90.00 gamma=115.88
Closest atoms and distances in Å follow each position.
Sites, in units of the cell vectors:
1 Zn 0.0000 0.0000 0.0000  2 Cr 2.61, 6 Zn 2.62-2.78, 2 Ru 2.64
2 Cr 0.5000 0.5000 0.7508  2 Ru 2.49, 2 Zn 2.61, 6 Cr 2.62-2.78
3 Ru 0.0000 0.0000 0.5174  2 Cr 2.49, 8 Ru 2.62-2.78
4 Ru 0.5000 0.5000 0.2537  8 Ru 2.62-2.78, 2 Zn 2.64

Output
- energy relative to the elements (eV/atom) = 0.32
- M_tot (μB per cell) = 0.00
- SG = No. 35



Entry 2:
Compound: CaPuTh2Bi4
Source: Alexandria via LeMat-Bulk
Functional: PBE
Structure: optimized geometry

Unit cell a=7.9460 b=4.6057 c=7.9810 alpha=90.00 beta=109.58 gamma=90.00
Closest atoms and distances in Å follow each position.
Sites, in units of the cell vectors:
1 Ca 0.0000 0.0000 0.0000  6 Bi 3.25-3.26
2 Pu 0.0000 0.5000 0.5000  6 Bi 3.24-3.25
3 Th 0.5000 0.0000 0.5000  6 Bi 3.25-3.26
4 Th 0.5000 0.5000 0.0000  6 Bi 3.25-3.26
5 Bi 0.2481 0.0000 0.7487  2 Pu 3.24, 1 Ca 3.25, 3 Th 3.26
6 Bi 0.2507 0.5000 0.2506  3 Th 3.25, 1 Pu 3.25, 2 Ca 3.26
7 Bi 0.7493 0.5000 0.7494  3 Th 3.25, 1 Pu 3.25, 2 Ca 3.26
8 Bi 0.7519 0.0000 0.2513  2 Pu 3.24, 1 Ca 3.25, 3 Th 3.26

Output
- energy relative to the elements (eV/atom) = -0.62
- M_tot (μB per cell) = 5.71
- SG = No. 10



Entry 3:
Compound: PmHoZn
Source: Alexandria via LeMat-Bulk
Functional: PBE
Structure: optimized geometry

Unit cell a=6.6515 b=6.6515 c=6.6515 alpha=148.47 beta=148.47 gamma=45.20
Closest atoms and distances in Å follow each position.
Sites, in units of the cell vectors:
1 Pm 0.0000 0.0000 0.0000  4 Zn 3.18, 1 Ho 3.54
2 Ho 0.2885 0.2885 0.0000  4 Zn 3.04
3 Zn 0.6542 0.6542 0.0000  4 Ho 3.04, 4 Pm 3.18

Output
- energy relative to the elements (eV/atom) = -0.21
- energy above the most stable polymorph in this dataset (eV per atom) = 0.0000
- M_tot (μB per cell) = 0.00
- SG = No. 107